Entry 1:
A plane-wave DFT calculation with PBE was carried out for an optimized crystal structure of Mg4InBi.

a = 6.893 Å, b = 6.895 Å, c = 8.515 Å
α = 113.88°, β = 113.99°, γ = 90.00°
Positions (direct):
Mg 0.615 0.615 0.229
Mg 0.615 0.114 0.229
Mg 0.115 0.614 0.229
Mg 0.115 0.115 0.229
Mg 0.385 0.886 0.771
Mg 0.385 0.385 0.771
Mg 0.885 0.885 0.771
Mg 0.885 0.386 0.771
In 0.750 0.750 0.000
In 0.250 0.250 0.000
Bi 0.500 0.000 0.500
Bi 0.000 0.500 0.500

Computed properties:
* ΔE to the lowest computed polymorph: 0 meV per atom
* space-group type: C2/m

***

Entry 2:
A plane-wave DFT calculation with PBE was carried out for an optimized crystal structure of MgIn6Bi.

a = 5.281 Å, b = 6.928 Å, c = 8.136 Å
α = 57.71°, β = 70.99°, γ = 68.91°
Positions (direct):
Mg 0.500 0.500 0.500
In 0.237 0.890 0.638
In 0.360 0.306 0.984
In 0.881 0.560 0.676
In 0.640 0.694 0.016
In 0.763 0.110 0.362
In 0.119 0.440 0.324
Bi 0.000 0.000 0.000

Computed properties:
* calculated total energy: -0.19789 Ry per atom
* space-group type: P-1

***

Entry 3:
A plane-wave DFT calculation with PBE was carried out for an optimized crystal structure of Mg4InBi.

a = 5.688 Å, b = 5.666 Å, c = 5.544 Å
α = 97.41°, β = 59.13°, γ = 104.53°
Positions (direct):
Mg 0.337 0.500 0.826
Mg 0.663 0.500 0.174
Mg 0.169 0.000 0.162
Mg 0.831 0.000 0.838
In 0.500 0.000 0.500
Bi 0.000 0.500 0.500

Computed properties:
* ΔE to the lowest computed polymorph: 32 meV per atom
* space-group type: C2/m

***

Entry 4:
A plane-wave DFT calculation with PBE was carried out for an optimized crystal structure of Mg3InBi3.

a = 7.530 Å, b = 7.530 Å, c = 7.530 Å
α = 74.62°, β = 74.62°, γ = 74.62°
Positions (direct):
Mg 0.898 0.308 0.042
Mg 0.042 0.898 0.308
Mg 0.308 0.042 0.898
Mg 0.692 0.958 0.102
Mg 0.958 0.102 0.692
Mg 0.102 0.692 0.958
In 0.242 0.242 0.242
In 0.758 0.758 0.758
Bi 0.550 0.348 0.850
Bi 0.348 0.850 0.550
Bi 0.850 0.550 0.348
Bi 0.150 0.450 0.652
Bi 0.652 0.150 0.450
Bi 0.450 0.652 0.150

Computed properties:
* ΔE to the lowest computed polymorph: 0 meV per atom
* space-group type: R-3

***

Entry 5:
A plane-wave DFT calculation with PBE was carried out for an optimized crystal structure of MgIn2Bi2.

a = 4.895 Å, b = 5.046 Å, c = 9.195 Å
α = 123.05°, β = 89.36°, γ = 119.72°
Positions (direct):
Mg 0.731 0.994 0.105
In 0.050 0.614 0.543
In 0.847 0.208 0.739
Bi 0.257 0.034 0.362
Bi 0.326 0.179 0.985

Computed properties:
* ΔE to the lowest computed polymorph: 0 meV per atom
* space-group type: P1

***

Entry 6:
A plane-wave DFT calculation with PBE was carried out for an optimized crystal structure of Mg3InBi.

a = 5.568 Å, b = 5.568 Å, c = 5.568 Å
α = 90.00°, β = 90.00°, γ = 90.00°
Positions (direct):
Mg 0.000 0.500 0.000
Mg 0.000 0.000 0.500
Mg 0.500 0.000 0.000
Bi 0.000 0.000 0.000
In 0.500 0.500 0.500

Computed properties:
* ΔE to the lowest computed polymorph: 488 meV per atom
* space-group type: Pm-3m

***

Entry 7:
A plane-wave DFT calculation with PBE was carried out for an optimized crystal structure of Mg4In3Bi4.

a = 4.893 Å, b = 7.765 Å, c = 9.635 Å
α = 113.76°, β = 104.71°, γ = 90.00°
Positions (direct):
Mg 0.674 0.452 0.348
Mg 0.326 0.104 0.652
Mg 0.326 0.548 0.652
Mg 0.674 0.896 0.348
In 0.895 0.895 0.791
In 0.105 0.105 0.209
In 0.000 0.500 0.000
Bi 0.795 0.295 0.590
Bi 0.205 0.705 0.410
Bi 0.500 0.786 0.000
Bi 0.500 0.214 0.000

Computed properties:
* calculated total energy: -0.20776 Ry per atom
* space-group type: Immm

***

Entry 8:
A plane-wave DFT calculation with PBE was carried out for an optimized crystal structure of Mg5In4Bi.

a = 3.675 Å, b = 3.675 Å, c = 18.068 Å
α = 90.00°, β = 90.00°, γ = 90.00°
Positions (direct):
Mg 0.500 0.500 0.109
Mg 0.500 0.500 0.304
Mg 0.500 0.500 0.500
Mg 0.500 0.500 0.696
Mg 0.500 0.500 0.891
In 0.000 0.000 0.206
In 0.000 0.000 0.403
In 0.000 0.000 0.597
In 0.000 0.000 0.794
Bi 0.000 0.000 0.000

Computed properties:
* calculated total energy: -0.17257 Ry per atom
* space-group type: P4/mmm

***

Entry 9:
A plane-wave DFT calculation with PBE was carried out for an optimized crystal structure of Mg4In3Bi2.

a = 4.878 Å, b = 5.440 Å, c = 9.989 Å
α = 82.08°, β = 89.50°, γ = 63.67°
Positions (direct):
Mg 0.651 0.694 0.881
Mg 0.009 0.984 0.337
Mg 0.991 0.016 0.663
Mg 0.349 0.306 0.119
In 0.338 0.326 0.450
In 0.000 0.000 0.000
In 0.662 0.674 0.550
Bi 0.320 0.359 0.799
Bi 0.680 0.641 0.201

Computed properties:
* calculated total energy: -0.18804 Ry per atom
* space-group type: P-1

***

Entry 10:
A plane-wave DFT calculation with PBE was carried out for an optimized crystal structure of Mg4In3Bi.

a = 5.417 Å, b = 6.892 Å, c = 10.547 Å
α = 90.00°, β = 90.00°, γ = 90.00°
Positions (direct):
Mg 0.500 0.758 0.000
Mg 0.500 0.758 0.500
Mg 0.500 0.242 0.000
Mg 0.500 0.242 0.500
Mg 0.118 0.757 0.750
Mg 0.882 0.757 0.250
Mg 0.882 0.243 0.250
Mg 0.118 0.243 0.750
Bi 0.000 0.500 0.000
Bi 0.000 0.500 0.500
In 0.000 0.000 0.000
In 0.000 0.000 0.500
In 0.613 0.000 0.750
In 0.387 0.000 0.250
In 0.604 0.500 0.750
In 0.396 0.500 0.250

Computed properties:
* calculated total energy: -0.17613 Ry per atom
* space-group type: Pmma

***

Entry 11:
A plane-wave DFT calculation with PBE was carried out for an optimized crystal structure of Mg3In3Bi.

a = 7.946 Å, b = 7.946 Å, c = 7.946 Å
α = 90.00°, β = 90.00°, γ = 90.00°
Positions (direct):
Mg 0.250 0.000 0.500
Mg 0.000 0.500 0.250
Mg 0.500 0.750 0.000
Mg 0.750 0.000 0.500
Mg 0.000 0.500 0.750
Mg 0.500 0.250 0.000
Bi 0.500 0.500 0.500
Bi 0.000 0.000 0.000
In 0.000 0.250 0.500
In 0.000 0.750 0.500
In 0.500 0.000 0.750
In 0.750 0.500 0.000
In 0.500 0.000 0.250
In 0.250 0.500 0.000

Computed properties:
* ΔE to the lowest computed polymorph: 554 meV per atom
* space-group type: Pm-3n

***

Entry 12:
A plane-wave DFT calculation with PBE was carried out for an optimized crystal structure of Mg2In2Bi3.

a = 4.791 Å, b = 6.911 Å, c = 6.824 Å
α = 96.37°, β = 84.22°, γ = 73.16°
Positions (direct):
Mg 0.877 0.283 0.949
Mg 0.123 0.717 0.051
In 0.961 0.819 0.595
In 0.039 0.181 0.405
Bi 0.500 0.000 0.000
Bi 0.628 0.615 0.305
Bi 0.372 0.385 0.695

Computed properties:
* calculated total energy: -0.21650 Ry per atom
* space-group type: P-1

***

Entry 13:
A plane-wave DFT calculation with PBE was carried out for an optimized crystal structure of MgIn12Bi7.

a = 8.264 Å, b = 9.538 Å, c = 9.538 Å
α = 67.98°, β = 73.21°, γ = 106.79°
Positions (direct):
Mg 0.000 0.000 0.000
In 0.953 0.496 0.213
In 0.833 0.787 0.709
In 0.604 0.353 0.043
In 0.352 0.957 0.396
In 0.543 0.709 0.504
In 0.749 0.396 0.647
In 0.251 0.604 0.353
In 0.457 0.291 0.496
In 0.648 0.043 0.604
In 0.396 0.647 0.957
In 0.167 0.213 0.291
In 0.047 0.504 0.787
Bi 0.813 0.146 0.203
Bi 0.983 0.797 0.350
Bi 0.333 0.350 0.854
Bi 0.500 0.000 0.000
Bi 0.667 0.650 0.146
Bi 0.017 0.203 0.650
Bi 0.187 0.854 0.797

Computed properties:
* calculated total energy: -0.22350 Ry per atom
* space-group type: R-3

***

Entry 14:
A plane-wave DFT calculation with PBE was carried out for an optimized crystal structure of Mg3InBi3.

a = 8.154 Å, b = 8.154 Å, c = 8.154 Å
α = 90.00°, β = 90.00°, γ = 90.00°
Positions (direct):
Mg 0.000 0.250 0.500
Mg 0.000 0.750 0.500
Mg 0.500 0.000 0.750
Mg 0.750 0.500 0.000
Mg 0.500 0.000 0.250
Mg 0.250 0.500 0.000
Bi 0.250 0.000 0.500
Bi 0.000 0.500 0.250
Bi 0.500 0.750 0.000
Bi 0.750 0.000 0.500
Bi 0.000 0.500 0.750
Bi 0.500 0.250 0.000
In 0.500 0.500 0.500
In 0.000 0.000 0.000

Computed properties:
* ΔE to the lowest computed polymorph: 230 meV per atom
* space-group type: Pm-3n

***

Entry 15:
A plane-wave DFT calculation with PBE was carried out for an optimized crystal structure of Mg4In5Bi.

a = 3.327 Å, b = 4.379 Å, c = 17.219 Å
α = 90.00°, β = 90.00°, γ = 90.00°
Positions (direct):
Mg 0.000 0.000 0.210
Mg 0.000 0.000 0.404
Mg 0.000 0.000 0.596
Mg 0.000 0.000 0.790
In 0.500 0.500 0.115
In 0.500 0.500 0.307
In 0.500 0.500 0.500
In 0.500 0.500 0.693
In 0.500 0.500 0.885
Bi 0.000 0.000 0.000

Computed properties:
* calculated total energy: -0.17964 Ry per atom
* space-group type: Pmmm

***

Entry 16:
A plane-wave DFT calculation with PBE was carried out for an optimized crystal structure of MgIn4Bi2.

a = 4.518 Å, b = 6.786 Å, c = 6.786 Å
α = 83.16°, β = 90.00°, γ = 90.00°
Positions (direct):
Mg 0.500 0.500 0.500
In 0.000 0.770 0.770
In 0.000 0.230 0.230
In 0.500 0.000 0.500
In 0.500 0.500 0.000
Bi 0.000 0.744 0.256
Bi 0.000 0.256 0.744

Computed properties:
* calculated total energy: -0.21263 Ry per atom
* space-group type: Cmmm

***

Entry 17:
A plane-wave DFT calculation with PBE was carried out for an optimized crystal structure of Mg3In12Bi.

a = 4.816 Å, b = 4.816 Å, c = 18.005 Å
α = 90.00°, β = 90.00°, γ = 90.00°
Positions (direct):
Mg 0.000 0.000 0.256
Mg 0.000 0.000 0.500
Mg 0.000 0.000 0.744
In 0.500 0.500 0.000
In 0.500 0.500 0.256
In 0.500 0.500 0.500
In 0.500 0.500 0.744
In 0.500 0.000 0.134
In 0.500 0.000 0.378
In 0.500 0.000 0.622
In 0.500 0.000 0.866
In 0.000 0.500 0.134
In 0.000 0.500 0.378
In 0.000 0.500 0.622
In 0.000 0.500 0.866
Bi 0.000 0.000 0.000

Computed properties:
* calculated total energy: -0.19161 Ry per atom
* space-group type: P4/mmm

***

Entry 18:
A plane-wave DFT calculation with PBE was carried out for an optimized crystal structure of Mg3In3Bi.

a = 9.109 Å, b = 9.109 Å, c = 9.109 Å
α = 50.72°, β = 50.72°, γ = 50.72°
Positions (direct):
Mg 0.478 0.306 0.997
Mg 0.306 0.997 0.478
Mg 0.997 0.478 0.306
Mg 0.003 0.522 0.694
Mg 0.694 0.003 0.522
Mg 0.522 0.694 0.003
In 0.868 0.343 0.173
In 0.173 0.868 0.343
In 0.343 0.173 0.868
In 0.657 0.827 0.132
In 0.827 0.132 0.657
In 0.132 0.657 0.827
Bi 0.359 0.359 0.359
Bi 0.641 0.641 0.641

Computed properties:
* ΔE to the lowest computed polymorph: 0 meV per atom
* space-group type: R-3

***

Entry 19:
A plane-wave DFT calculation with PBE was carried out for an optimized crystal structure of Mg5In2Bi3.

a = 4.767 Å, b = 7.353 Å, c = 15.884 Å
α = 90.00°, β = 98.63°, γ = 90.00°
Positions (direct):
Mg 0.395 0.377 0.790
Mg 0.302 0.533 0.604
Mg 0.698 0.033 0.396
Mg 0.129 0.194 0.257
Mg 0.298 0.006 0.596
Mg 0.948 0.051 0.897
Mg 0.702 0.506 0.404
Mg 0.871 0.694 0.743
Mg 0.052 0.551 0.103
Mg 0.605 0.877 0.210
In 0.489 0.747 0.979
In 0.167 0.775 0.334
In 0.833 0.275 0.666
In 0.511 0.247 0.021
Bi 0.774 0.763 0.548
Bi 0.607 0.454 0.214
Bi 0.047 0.964 0.095
Bi 0.226 0.263 0.452
Bi 0.953 0.464 0.905
Bi 0.393 0.954 0.786

Computed properties:
* calculated total energy: -0.19253 Ry per atom
* space-group type: Cmc2_1

***

Entry 20:
A plane-wave DFT calculation with PBE was carried out for an optimized crystal structure of Mg2InBi2.

a = 8.590 Å, b = 8.590 Å, c = 4.794 Å
α = 106.49°, β = 106.49°, γ = 109.55°
Positions (direct):
Mg 0.828 0.658 0.492
Mg 0.342 0.172 0.008
Mg 0.658 0.828 0.992
Mg 0.172 0.342 0.508
In 0.080 0.920 0.250
In 0.920 0.080 0.750
Bi 0.406 0.594 0.250
Bi 0.765 0.235 0.250
Bi 0.235 0.765 0.750
Bi 0.594 0.406 0.750

Computed properties:
* calculated total energy: -0.20558 Ry per atom
* space-group type: C2/c